DFT (PBE) results for crystalline LaScHg4 at its relaxed geometry.

Cell lengths 4.627, 8.130, 4.631 Å; angles 90.00, 90.00, 90.00 degrees
Space group Pm (No. 6)
Unique sites:
La 0.000 0.000 0.000
Sc 0.501 0.500 0.498
Hg 0.001 0.281 0.500
Hg 0.500 0.281 0.999

## Properties
* formation energy: -0.16 eV per atom
* crystal system: monoclinic
* ΔE to the lowest computed polymorph: 0.926 eV/f.u.

DFT (PBE) results for crystalline Pr3Sm8Er4 at its relaxed geometry.

Cell lengths 13.982, 12.216, 6.883 Å; angles 90.00, 119.18, 90.00 degrees
Space group C2/m (No. 12)
Unique sites:
Pr 0.000 0.000 0.000
Pr 0.250 0.250 0.000
Sm 0.000 0.205 0.500
Sm 0.000 0.253 0.000
Sm 0.205 0.000 0.702
Sm 0.247 0.500 0.747
Er 0.000 0.500 0.000
Er 0.000 0.500 0.500
Er 0.250 0.250 0.500

## Properties
* formation energy: 0.35 eV per atom
* crystal system: monoclinic

DFT (PBE) results for crystalline CdH8Os2 at its relaxed geometry.

Cell lengths 4.465, 9.516, 5.061 Å; angles 90.00, 115.00, 90.00 degrees
Space group Cm (No. 8)
Unique sites:
Cd 0.000 0.000 0.000
H 0.097 0.294 0.826
H 0.107 0.192 0.470
H 0.214 0.500 0.398
H 0.289 0.000 0.625
H 0.357 0.191 0.174
Os 0.492 0.132 0.509

## Properties
* E: -4.34 eV per atom
* crystal system: monoclinic

DFT (PBE) results for crystalline CsCo3B at its relaxed geometry.

Cell lengths 4.129, 4.129, 4.129 Å; angles 90.00, 90.00, 90.00 degrees
Space group Pm-3m (No. 221)
Unique sites:
Cs 0.000 0.000 0.000
Co 0.000 0.500 0.500
B 0.500 0.500 0.500

## Properties
* formation energy: 0.99 eV per atom
* crystal system: cubic
* ΔE to the lowest computed polymorph: 0.000 eV/f.u.

DFT (PBE) results for crystalline LaBeAl at its relaxed geometry.

Cell lengths 4.4007, 4.4007, 3.9819 Å; angles 90.00, 90.00, 120.00 degrees
Space group P-6m2 (No. 187)
Unique sites:
La 0.0000 0.0000 0.0000
Be 0.3333 0.6667 0.5000
Al 0.6667 0.3333 0.5000

## Properties
* formation energy: -0.13 eV per atom
* crystal system: hexagonal
* ΔE to the lowest computed polymorph: 0.189 eV/f.u.

DFT (PBE) results for crystalline TaPS2Cl at its relaxed geometry.

Cell lengths 4.685, 4.685, 5.106 Å; angles 90.00, 90.00, 90.00 degrees
Space group P4/mmm (No. 123)
Unique sites:
Ta 0.000 0.000 0.000
P 0.000 0.000 0.500
S 0.000 0.500 0.000
Cl 0.500 0.500 0.500

## Properties
* raw formation energy: 0.0099 eV/atom
* crystal system: tetragonal
* ΔE to the lowest computed polymorph: 0.000 eV/f.u.